The following is a PBE calculation of a relaxed structure of BSbTe2P, from the Alexandria database.

Results
volume: 22.24 A^3/atom
energy: -3.559 eV per atom
size of the total moment: 0.000 μB/f.u.

a = 4.775 Å, b = 4.775 Å, c = 4.877 Å
α = 90.00°, β = 90.00°, γ = 90.00°
Space group P4/mmm (No. 123)
Symmetry-distinct sites (fractional):
1 B 0.000 0.000 0.000 [1 per cell]
2 Sb 0.000 0.000 0.500 [1 per cell]
3 Te 0.000 0.500 0.000 [2 per cell]
4 P 0.500 0.500 0.500 [1 per cell]